{"formula": "La2Ho3Er6", "functional": "PBE-GGA", "state": "optimized geometry", "lattice_angstrom": [[-2.3654, 2.3654, 16.6488], [2.3654, -2.3654, 16.6488], [2.3654, 2.3654, -16.6488]], "species": ["La", "La", "Ho", "Ho", "Ho", "Er", "Er", "Er", "Er", "Er", "Er"], "frac_coords": [[0.0463, 0.0463, 0.0000], [0.9537, 0.9537, 0.0000], [0.2975, 0.2975, 0.0000], [0.5000, 0.5000, 0.0000], [0.7025, 0.7025, 0.0000], [0.1239, 0.6239, 0.5000], [0.1954, 0.1954, 0.0000], [0.3761, 0.8761, 0.5000], [0.6239, 0.1239, 0.5000], [0.8046, 0.8046, 0.0000], [0.8761, 0.3761, 0.5000]], "density_g_cm3": 7.9, "spacegroup": "I4/mmm (139)", "energy_ev_per_atom": -4.36, "magnetic_moment_mub_per_atom": 0.00, "e_above_lowest_polymorph_mev_per_atom": 86.3}